1.
A relaxed Rb2VIr3O12 crystal, computed with PBE with a Hubbard U.

Lattice parameters (Å, degrees): 7.1841 7.1841 7.1841 60.08 60.08 60.08
Closest atoms and distances in Å follow each position.
Atoms (fractional coordinates):
Ir  0.0000  0.5000  0.0000  6 O 1.93-1.94
Rb  0.6268  0.6268  0.6268  6 O 3.09-3.15
O  0.6773  0.6773  0.0721  2 Ir 1.94
O  0.3227  0.3227  0.9279  2 Ir 1.94
O  0.3101  0.9364  0.9364  1 V 1.89, 1 Ir 1.93
Ir  0.0000  0.0000  0.5000  6 O 1.93-1.94
O  0.3227  0.9279  0.3227  2 Ir 1.94
O  0.9364  0.3101  0.9364  1 V 1.89, 1 Ir 1.93
O  0.0636  0.6899  0.0636  1 V 1.89, 1 Ir 1.93
O  0.9364  0.9364  0.3101  1 V 1.89, 1 Ir 1.93
O  0.9279  0.3227  0.3227  2 Ir 1.94
V  0.0000  0.0000  0.0000  6 O 1.89
O  0.0636  0.0636  0.6899  1 V 1.89, 1 Ir 1.93
O  0.0721  0.6773  0.6773  2 Ir 1.94
Rb  0.3732  0.3732  0.3732  6 O 3.09-3.15
O  0.6899  0.0636  0.0636  1 V 1.89, 1 Ir 1.93
Ir  0.5000  0.0000  0.0000  6 O 1.93-1.94
O  0.6773  0.0721  0.6773  2 Ir 1.94

SG: R-3m
Uncorrected energy: -115.002 eV for the cell shown

=====

2.
A relaxed K3Mn2NiF9 crystal, computed with PBE with a Hubbard U.

Lattice parameters (Å, degrees): 5.9284 5.9284 7.2677 90.00 90.00 120.00
Closest atoms and distances in Å follow each position.
Atoms (fractional coordinates):
F  0.8376  0.6752  0.6605  1 Ni 2.04, 1 Mn 2.13
K  0.0000  0.0000  0.0000  12 F 2.96-2.98
Ni  0.0000  0.0000  0.5000  6 F 2.04
F  0.8376  0.1624  0.6605  1 Ni 2.04, 1 Mn 2.13
F  0.5000  0.0000  0.0000  2 Mn 2.12
Mn  0.3333  0.6667  0.1725  6 F 2.12-2.13
Mn  0.6667  0.3333  0.8275  6 F 2.12-2.13
F  0.6752  0.8376  0.3395  1 Ni 2.04, 1 Mn 2.13
F  0.1624  0.8376  0.3395  1 Ni 2.04, 1 Mn 2.13
K  0.3333  0.6667  0.6651  12 F 2.95-2.98
K  0.6667  0.3333  0.3349  12 F 2.95-2.98
F  0.0000  0.5000  0.0000  2 Mn 2.12
F  0.3248  0.1624  0.6605  1 Ni 2.04, 1 Mn 2.13
F  0.1624  0.3248  0.3395  1 Ni 2.04, 1 Mn 2.13
F  0.5000  0.5000  0.0000  2 Mn 2.12

SG: P-3m1
Uncorrected energy: -77.766 eV for the cell shown